VASP calculation (PBE-GGA) on ZrPb2Cl after structural relaxation.

Unit cell a=8.7749 b=8.7749 c=8.7749 alpha=157.97 beta=150.79 gamma=36.89
Closest atoms and distances in Å follow each position.
Atoms (fractional coordinates):
Zr 0.4588 0.4588 0.0000  2 Cl 2.58
Pb 0.0347 0.0347 0.0000  4 Zr 3.05, 4 Pb 3.11-3.35
Pb 0.6657 0.1657 0.5000  4 Pb 3.11-3.35
Cl 0.3409 0.8409 0.5000  2 Zr 2.58

N(E_F)	1.8	states/eV/f.u.
polymorph energy (0 for the lowest one)	0	meV/atom
E	-19.7	eV for the cell shown
ΔE_f (raw)	-464	meV per atom